Below is a relaxed structure of CaCr2Rh, with properties calculated at the GGA-PBE level.

Summary:
Crystal system ... tetragonal
Offset from the most stable computed form ... 227 meV/atom

Unit cell a=3.1242 b=3.1242 c=7.7643 alpha=90.00 beta=90.00 gamma=90.00
Fractional positions:
Ca 0.5000 0.5000 0.7500
Rh 0.5000 0.5000 0.2500
Cr 0.0000 0.0000 0.4383
Cr 0.0000 0.0000 0.0617

***

Below is a relaxed structure of Nb12Sn3Os, with properties calculated at the GGA-PBE level.

Summary:
Crystal system ... orthorhombic
Calculated total energy ... -147.49 eV per cell

Unit cell a=5.2872 b=5.2814 c=10.5853 alpha=90.00 beta=90.00 gamma=90.00
Fractional positions:
Nb 0.0000 0.7553 0.2597
Nb 0.2431 0.5000 0.5000
Nb 0.5000 0.0000 0.3824
Sn 0.5000 0.5000 0.2488
Nb 0.2544 0.5000 0.0000
Nb 0.0000 0.7553 0.7403
Nb 0.0000 0.2447 0.2597
Sn 0.5000 0.5000 0.7512
Nb 0.0000 0.2447 0.7403
Os 0.0000 0.0000 0.5000
Nb 0.7456 0.5000 0.0000
Nb 0.7569 0.5000 0.5000
Nb 0.5000 0.0000 0.1289
Nb 0.5000 0.0000 0.6176
Nb 0.5000 0.0000 0.8711
Sn 0.0000 0.0000 0.0000

***

Below is a relaxed structure of CdFeAs2N, with properties calculated at the GGA-PBE level.

Summary:
Crystal system ... tetragonal
Formation energy (no corrections) ... 310 meV/atom

Unit cell a=4.9890 b=3.3820 c=4.9890 alpha=90.00 beta=90.00 gamma=90.00
Fractional positions:
Fe 0.0000 0.0000 0.0000
N 0.0000 0.5000 0.0000
Cd 0.5000 0.5000 0.5000
As 0.0000 0.0000 0.5000
As 0.5000 0.0000 0.0000

***

Below is a relaxed structure of Er3In4Sn2, with properties calculated at the GGA-PBE level.

Summary:
Crystal system ... hexagonal
Calculated total energy ... -35.89 eV per cell

Unit cell a=4.3081 b=7.9144 c=7.9144 alpha=120.00 beta=90.00 gamma=90.00
Fractional positions:
In 0.5000 0.0000 0.0000
Er 0.5000 0.0000 0.3906
Er 0.5000 0.3906 0.0000
Sn 0.0000 0.3333 0.6667
Sn 0.0000 0.6667 0.3333
In 0.0000 0.0000 0.7356
In 0.0000 0.7356 0.0000
In 0.0000 0.2644 0.2644
Er 0.5000 0.6094 0.6094

***

Below is a relaxed structure of Hf2NbTl, with properties calculated at the GGA-PBE level.

Summary:
Crystal system ... monoclinic
Offset from the most stable computed form ... 70 meV/atom

Unit cell a=6.6918 b=5.0373 c=10.7004 alpha=90.00 beta=108.37 gamma=90.00
Fractional positions:
Hf 0.6473 0.5000 0.8234
Nb 0.7485 0.0000 0.0585
Hf 0.9940 0.5000 0.0864
Hf 0.3916 0.5000 0.3315
Tl 0.2625 0.0000 0.0832
Hf 0.6473 0.0000 0.3234
Hf 0.5262 0.0000 0.5804
Hf 0.3916 0.0000 0.8315
Nb 0.7485 0.5000 0.5585
Tl 0.1142 0.0000 0.3229
Hf 0.5262 0.5000 0.0804
Tl 0.2625 0.5000 0.5832
Hf 0.9940 0.0000 0.5864
Nb 0.8690 0.5000 0.3342
Tl 0.1142 0.5000 0.8229
Nb 0.8690 0.0000 0.8342

***

Below is a relaxed structure of AcCd8Cu2, with properties calculated at the GGA-PBE level.

Summary:
Crystal system ... tetragonal
Calculated total energy ... -17.72 eV per cell

Unit cell a=6.0843 b=6.0843 c=8.7575 alpha=90.00 beta=90.00 gamma=90.00
Fractional positions:
Cu 0.0000 0.5000 0.0000
Cd 0.2466 0.7534 0.8077
Cd 0.2466 0.7534 0.1923
Cd 0.7534 0.7534 0.1923
Cd 0.7534 0.7534 0.8077
Cd 0.7534 0.2466 0.1923
Cd 0.7534 0.2466 0.8077
Cu 0.5000 0.0000 0.0000
Cd 0.2466 0.2466 0.1923
Ac 0.5000 0.5000 0.5000
Cd 0.2466 0.2466 0.8077

***

Below is a relaxed structure of PrEuGeRh, with properties calculated at the GGA-PBE level.

Summary:
Crystal system ... cubic
Calculated total energy ... -28.99 eV per cell

Unit cell a=5.1373 b=5.1373 c=5.1373 alpha=60.00 beta=60.00 gamma=60.00
Fractional positions:
Pr 0.7500 0.7500 0.7500
Eu 0.2500 0.2500 0.2500
Ge 0.5000 0.5000 0.5000
Rh 0.0000 0.0000 0.0000

***

Below is a relaxed structure of GdCd2Sn, with properties calculated at the GGA-PBE level.

Summary:
Crystal system ... trigonal
Calculated total energy ... -19.21 eV per cell

Unit cell a=3.3514 b=3.3514 c=11.6828 alpha=81.75 beta=81.75 gamma=60.00
Fractional positions:
Gd 0.0000 0.0000 0.0000
Cd 0.0909 0.0909 0.7273
Sn 0.5000 0.5000 0.5000
Cd 0.9091 0.9091 0.2727

***

Below is a relaxed structure of GaSO3, with properties calculated at the GGA-PBE level.

Summary:
Crystal system ... cubic
Formation energy (no corrections) ... -1 meV/atom

Unit cell a=3.7821 b=3.7821 c=3.7821 alpha=90.00 beta=90.00 gamma=90.00
Fractional positions:
S 0.5000 0.5000 0.5000
O 0.0000 0.0000 0.5000
Ga 0.0000 0.0000 0.0000
O 0.5000 0.0000 0.0000
O 0.0000 0.5000 0.0000

***

Below is a relaxed structure of ZnCd2Ga, with properties calculated at the GGA-PBE level.

Summary:
Crystal system ... trigonal
Calculated total energy ... -5.86 eV per cell

Unit cell a=3.1086 b=3.1086 c=9.7266 alpha=80.80 beta=80.80 gamma=60.00
Fractional positions:
Cd 0.2521 0.2521 0.2436
Ga 0.5000 0.5000 0.5000
Zn 0.0000 0.0000 0.0000
Cd 0.7479 0.7479 0.7564

***

Below is a relaxed structure of Tb2HoTh, with properties calculated at the GGA-PBE level.

Summary:
Crystal system ... cubic
Offset from the most stable computed form ... 165 meV/atom

Unit cell a=5.6670 b=5.6670 c=5.6670 alpha=60.00 beta=60.00 gamma=60.00
Fractional positions:
Ho 0.0000 0.0000 0.0000
Tb 0.7500 0.7500 0.7500
Tb 0.2500 0.2500 0.2500
Th 0.5000 0.5000 0.5000

***

Below is a relaxed structure of Ta2InBr, with properties calculated at the GGA-PBE level.

Summary:
Crystal system ... monoclinic
Offset from the most stable computed form ... 463 meV/atom
Formation energy (no corrections) ... 534 meV/atom

Unit cell a=5.3582 b=5.3582 c=5.3846 alpha=73.77 beta=73.77 gamma=32.80
Fractional positions:
Br 0.7500 0.7500 0.7500
Ta 0.0033 0.0033 0.0032
Ta 0.4967 0.4967 0.4968
In 0.2500 0.2500 0.2500

***

Below is a relaxed structure of AlZn3O3, with properties calculated at the GGA-PBE level.

Summary:
Crystal system ... cubic
Formation energy (no corrections) ... -818 meV/atom

Unit cell a=5.7945 b=5.7945 c=5.7945 alpha=90.00 beta=90.00 gamma=90.00
Fractional positions:
Al 0.5000 0.5000 0.5000
O 0.0000 0.2500 0.5000
O 0.2500 0.5000 0.0000
Al 0.0000 0.0000 0.0000
O 0.5000 0.0000 0.2500
Zn 0.0000 0.5000 0.2500
Zn 0.7500 0.0000 0.5000
Zn 0.0000 0.5000 0.7500
O 0.7500 0.5000 0.0000
Zn 0.2500 0.0000 0.5000
Zn 0.5000 0.7500 0.0000
O 0.5000 0.0000 0.7500
O 0.0000 0.7500 0.5000
Zn 0.5000 0.2500 0.0000

***

Below is a relaxed structure of Tl2PbC, with properties calculated at the GGA-PBE level.

Summary:
Crystal system ... tetragonal
Offset from the most stable computed form ... 0 meV/atom

Unit cell a=6.6123 b=6.6123 c=6.9529 alpha=61.61 beta=61.61 gamma=90.00
Fractional positions:
Tl 0.2357 0.6250 0.2500
C 0.2500 0.7500 0.5000
C 0.5000 0.5000 0.0000
Tl 0.3750 0.4857 0.7500
Tl 0.5143 0.1250 0.2500
Pb 0.0000 0.0000 0.0000
Pb 0.7500 0.2500 0.5000
Tl 0.8750 0.7643 0.7500

***

Below is a relaxed structure of CsTlCd2Pt, with properties calculated at the GGA-PBE level.

Summary:
Crystal system ... tetragonal
Calculated total energy ... -12.13 eV per cell

Unit cell a=5.4416 b=5.4416 c=5.3623 alpha=90.00 beta=90.00 gamma=90.00
Fractional positions:
Pt 0.0000 0.0000 0.0000
Cd 0.5000 0.0000 0.0000
Cs 0.5000 0.5000 0.5000
Tl 0.0000 0.0000 0.5000
Cd 0.0000 0.5000 0.0000

***

Below is a relaxed structure of Cr7Pb, with properties calculated at the GGA-PBE level.

Summary:
Crystal system ... cubic
Calculated total energy ... -65.81 eV per cell

Unit cell a=5.3038 b=5.3038 c=5.3038 alpha=60.00 beta=60.00 gamma=60.00
Fractional positions:
Cr 0.5000 0.5000 0.5000
Cr 0.5000 0.5000 0.0000
Cr 0.0000 0.5000 0.0000
Cr 0.5000 0.0000 0.5000
Cr 0.0000 0.5000 0.5000
Cr 0.0000 0.0000 0.5000
Cr 0.5000 0.0000 0.0000
Pb 0.0000 0.0000 0.0000

***

Below is a relaxed structure of Er4Ge2C, with properties calculated at the GGA-PBE level.

Summary:
Crystal system ... orthorhombic
Offset from the most stable computed form ... 0 meV/atom

Unit cell a=6.5331 b=6.6839 c=8.1252 alpha=90.00 beta=113.70 gamma=90.00
Fractional positions:
Er 0.3320 0.5408 0.6641
Ge 0.8635 0.5163 0.7270
C 0.5000 0.5000 0.0000
Ge 0.1365 0.4837 0.2730
Er 0.7392 0.2500 0.9785
Er 0.7608 0.7500 0.0215
Er 0.1680 0.0408 0.3359
Ge 0.3635 0.9837 0.7270
Ge 0.6365 0.0163 0.2730
C 0.0000 0.0000 0.0000
Er 0.8320 0.9592 0.6641
Er 0.2608 0.7500 0.0215
Er 0.6680 0.4592 0.3359
Er 0.2392 0.2500 0.9785

***

Below is a relaxed structure of SiWSeN2, with properties calculated at the GGA-PBE level.

Summary:
Crystal system ... tetragonal
Offset from the most stable computed form ... 0 meV/atom
Formation energy (no corrections) ... 528 meV/atom

Unit cell a=3.9211 b=3.9211 c=5.2593 alpha=90.00 beta=90.00 gamma=90.00
Fractional positions:
W 0.0000 0.0000 0.0000
Se 0.0000 0.0000 0.5000
N 0.5000 0.0000 0.0000
N 0.0000 0.5000 0.0000
Si 0.5000 0.5000 0.5000

***

Below is a relaxed structure of BaPuPd2, with properties calculated at the GGA-PBE level.

Summary:
Crystal system ... tetragonal
Offset from the most stable computed form ... 121 meV/atom

Unit cell a=3.5890 b=5.3222 c=5.3222 alpha=90.00 beta=90.00 gamma=90.00
Fractional positions:
Ba 0.5000 0.5000 0.5000
Pd 0.0000 0.5000 0.0000
Pd 0.0000 0.0000 0.5000
Pu 0.5000 0.0000 0.0000

***

Below is a relaxed structure of Nd4GaTe2As, with properties calculated at the GGA-PBE level.

Summary:
Crystal system ... monoclinic
Formation energy (no corrections) ... -1269 meV/atom

Unit cell a=4.3163 b=7.6319 c=7.7451 alpha=108.53 beta=90.00 gamma=90.00
Fractional positions:
Nd 0.5000 0.7591 0.7759
Nd 0.0000 0.7447 0.2315
Nd 0.5000 0.2409 0.2241
As 0.0000 0.0000 0.0000
Te 0.0000 0.5000 0.5000
Nd 0.0000 0.2553 0.7685
Ga 0.5000 0.5000 0.0000
Te 0.5000 0.0000 0.5000

***

Below is a relaxed structure of ScCu2Re, with properties calculated at the GGA-PBE level.

Summary:
Crystal system ... monoclinic
Offset from the most stable computed form ... 22 meV/atom

Unit cell a=5.1938 b=5.1938 c=4.7406 alpha=64.22 beta=64.22 gamma=31.11
Fractional positions:
Re 0.4893 0.4893 0.5808
Cu 0.7436 0.7436 0.6801
Sc 0.2544 0.2544 0.1864
Cu 0.0126 0.0126 0.0527

***

Below is a relaxed structure of Pm12TmRu4, with properties calculated at the GGA-PBE level.

Summary:
Crystal system ... cubic
Calculated total energy ... -99.25 eV per cell

Unit cell a=9.0041 b=9.0041 c=9.0041 alpha=109.47 beta=109.47 gamma=109.47
Fractional positions:
Pm 0.3107 0.1345 0.8238
Pm 0.8238 0.6893 0.5131
Ru 0.5000 0.5000 0.5000
Pm 0.3107 0.4869 0.1762
Ru 0.0000 0.5000 0.0000
Pm 0.4869 0.1762 0.3107
Ru 0.0000 0.0000 0.5000
Pm 0.6893 0.8655 0.1762
Ru 0.5000 0.0000 0.0000
Pm 0.6893 0.5131 0.8238
Pm 0.1345 0.8238 0.3107
Pm 0.8655 0.1762 0.6893
Pm 0.8238 0.3107 0.1345
Pm 0.1762 0.6893 0.8655
Tm 0.0000 0.0000 0.0000
Pm 0.1762 0.3107 0.4869
Pm 0.5131 0.8238 0.6893

***

Below is a relaxed structure of HfCu2PO, with properties calculated at the GGA-PBE level.

Summary:
Crystal system ... tetragonal
Formation energy (no corrections) ... -584 meV/atom

Unit cell a=3.9841 b=4.2986 c=3.9841 alpha=90.00 beta=90.00 gamma=90.00
Fractional positions:
Hf 0.0000 0.5000 0.0000
O 0.0000 0.0000 0.0000
Cu 0.0000 0.0000 0.5000
P 0.5000 0.5000 0.5000
Cu 0.5000 0.0000 0.0000

***

Below is a relaxed structure of InPPt2, with properties calculated at the GGA-PBE level.

Summary:
Crystal system ... tetragonal
Offset from the most stable computed form ... 36 meV/atom

Unit cell a=4.8498 b=4.8498 c=7.9758 alpha=72.30 beta=72.30 gamma=90.00
Fractional positions:
Pt 0.8750 0.7867 0.7500
In 0.0000 0.0000 0.0000
Pt 0.2133 0.6250 0.2500
P 0.2500 0.7500 0.5000
Pt 0.3750 0.4633 0.7500
Pt 0.5367 0.1250 0.2500
In 0.7500 0.2500 0.5000
P 0.5000 0.5000 0.0000

***

Below is a relaxed structure of PrHoErTm, with properties calculated at the GGA-PBE level.

Summary:
Crystal system ... monoclinic
Offset from the most stable computed form ... 3 meV/atom

Unit cell a=3.7747 b=5.8093 c=6.8207 alpha=115.20 beta=73.89 gamma=90.00
Fractional positions:
Ho 0.4304 0.1311 0.2622
Tm 0.9115 0.6502 0.3003
Pr 0.6695 0.3949 0.7898
Er 0.1745 0.8885 0.7770

***

Ordered magnetization results: 7.37 0.00 0.00 0.00 0.00 0.00 6.66 7.41 0.00 0.00 0.00 0.00 0.00 0.00 0.00 0.00 0.00 0.00 5.69 0.00 0.00 0.00 0.00 0.00 0.00; unit μB per formula unit.